Material: Na3Mn2I8
Method: DFT, PBE
State: relaxed

Summary:
**Electronic total energy**: -3.405 eV per atom
**Density**: 3.84 g/cm³
**Formation energy without anion corrections**: -71.0 kJ/mol of atoms

```
Na3Mn2I8
1.0
7.508 -4.662 0.000
7.508 4.662 0.000
-2.802 0.000 7.383
Na Mn I
3 2 8
Cartesian
0.000 0.000 0.000
6.107 2.136 3.691
6.107 -2.136 3.691
2.295 0.000 6.441
9.919 0.000 0.942
-0.208 0.000 5.411
3.467 2.206 5.557
4.784 0.000 1.687
8.747 2.206 1.826
3.467 -2.206 5.557
7.430 0.000 5.695
8.747 -2.206 1.826
12.422 0.000 1.971
```